Record 1
The following is a PBE-GGA calculation of a relaxed structure of ZnHg2Sb, from Alexandria via LeMat-Bulk.

a b c (Å): 4.161 4.173 5.954
angles (deg): 90.00 90.00 90.00
Space group Pmmm (No. 47)
Symmetry-distinct sites (fractional):
Zn1 0.000 0.000 0.000 x1
Hg1 0.000 0.000 0.500 x1
Hg2 0.500 0.500 0.500 x1
Sb1 0.500 0.500 0.000 x1

Properties
energy relative to the lowest polymorph listed for this composition = 34.0 meV per atom
magnetization = 0.000 μB per cell
VASP energy = -1.39 eV per atom
ΔE_f (raw) = 11 kJ/mol of atoms

---

Record 2
The following is a PBE-GGA calculation of a relaxed structure of PrLuAgAu, from Alexandria via LeMat-Bulk.

a b c (Å): 7.319 7.319 7.319
angles (deg): 90.00 90.00 90.00
Space group F-43m (No. 216)
Symmetry-distinct sites (fractional):
Pr1 0.000 0.000 0.000 x4
Lu1 0.000 0.000 0.500 x4
Ag1 0.250 0.250 0.750 x4
Au1 0.250 0.250 0.250 x4

Properties
magnetization = 0.006 μB per cell
VASP energy = -4.39 eV per atom
formation enthalpy at 0 K = -531 meV/atom

---

Record 3
The following is a PBE-GGA calculation of a relaxed structure of LiAc5Pr4, from Alexandria via LeMat-Bulk.

a b c (Å): 3.894 3.894 25.789
angles (deg): 90.00 90.00 90.00
Space group P4/mmm (No. 123)
Symmetry-distinct sites (fractional):
Li1 0.000 0.000 0.000 x1
Ac1 0.500 0.500 0.085 x2
Ac2 0.500 0.500 0.292 x2
Ac3 0.500 0.500 0.500 x1
Pr1 0.000 0.000 0.188 x2
Pr2 0.000 0.000 0.396 x2

Properties
magnetization = 0.000 μB per cell
VASP energy = -4.13 eV per atom
formation enthalpy at 0 K = 31 meV/atom

---

Record 4
The following is a PBE-GGA calculation of a relaxed structure of ZrMn2BeC, from Alexandria via LeMat-Bulk.

a b c (Å): 3.454 9.858 6.740
angles (deg): 90.00 90.00 90.00
Space group Cmcm (No. 63)
Symmetry-distinct sites (fractional):
Zr1 0.000 0.037 0.250 x4
Mn1 0.000 0.317 0.060 x8
Be1 0.000 0.243 0.750 x4
C1 0.000 0.500 0.000 x4

Properties
magnetization = 0.000 μB per cell
VASP energy = -8.28 eV per atom
formation enthalpy at 0 K = -310 meV/atom

---

Record 5
The following is a PBE-GGA calculation of a relaxed structure of Ca2InB, from Alexandria via LeMat-Bulk.

a b c (Å): 8.004 8.004 6.633
angles (deg): 90.00 90.00 90.00
Space group I-42d (No. 122)
Symmetry-distinct sites (fractional):
Ca1 0.180 0.250 0.125 x8
In1 0.000 0.000 0.500 x4
B1 0.000 0.000 0.000 x4

Properties
energy relative to the lowest polymorph listed for this composition = 126.6 meV per atom
magnetization = 0.000 μB per cell
VASP energy = -2.91 eV per atom
formation enthalpy at 0 K = 441 meV/atom

---

Record 6
The following is a PBE-GGA calculation of a relaxed structure of MgNb2GaAu, from Alexandria via LeMat-Bulk.

a b c (Å): 4.814 4.814 4.522
angles (deg): 90.00 90.00 90.00
Space group P4/mmm (No. 123)
Symmetry-distinct sites (fractional):
Mg1 0.000 0.000 0.000 x1
Nb1 0.000 0.500 0.000 x2
Ga1 0.000 0.000 0.500 x1
Au1 0.500 0.500 0.500 x1

Properties
magnetization = 0.000 μB per cell
VASP energy = -4.21 eV per atom
formation enthalpy at 0 K = 1403 meV/atom

---

Record 7
The following is a PBE-GGA calculation of a relaxed structure of NbCrAs2, from Alexandria via LeMat-Bulk.

a b c (Å): 3.6361 3.6361 18.5026
angles (deg): 90.00 90.00 120.00
Space group R-3m (No. 166, hexagonal axes)
Symmetry-distinct sites (fractional):
Nb1 0.0000 0.0000 0.0000 x3
Cr1 0.0000 0.0000 0.5000 x3
As1 0.0000 0.0000 0.2447 x6

Properties
energy relative to the lowest polymorph listed for this composition = 0.0 meV per atom
magnetization = 9.568 μB per cell
VASP energy = -7.39 eV per atom
formation enthalpy at 0 K = -145 meV/atom

---

Record 8
The following is a PBE-GGA calculation of a relaxed structure of AcLaMg, from Alexandria via LeMat-Bulk.

a b c (Å): 4.037 4.037 13.227
angles (deg): 90.00 90.00 90.00
Space group I4mm (No. 107)
Symmetry-distinct sites (fractional):
Ac1 0.000 0.000 0.000 x2
La1 0.000 0.000 0.696 x2
Mg1 0.000 0.000 0.339 x2

Properties
energy relative to the lowest polymorph listed for this composition = 3.6 meV per atom
magnetization = 0.408 μB per cell
VASP energy = -3.59 eV per atom
formation enthalpy at 0 K = -46 meV/atom